1.
Here is V3GaTc after structural relaxation from the Alexandria database. Energies are from GGA-PBE.

```
V3GaTc
1.0
4.521 0.000 0.000
0.000 4.521 0.000
0.000 0.000 4.521
V Ga Tc
3 1 1
Direct
0.000 0.000 0.500 V
0.000 0.500 0.000 V
0.500 0.000 0.000 V
0.500 0.500 0.500 Ga
0.000 0.000 0.000 Tc
```

Output
The density is 5.76 Mg/m³. The density of states at the Fermi level is 4.68 states/eV per cell. Its polymorph energy (0 for the lowest one) is 1.0657 eV per atom. The value obtained for the total moment is 0.0000 μB/atom. As for the formation enthalpy at 0 K: 991 meV per atom.

---

2.
Here is VGaTc4 after structural relaxation from the Alexandria database. Energies are from GGA-PBE.

```
VGaTc4
1.0
4.920 -1.533 0.000
4.920 1.533 0.000
-1.798 0.000 5.661
V Ga Tc
1 1 4
Direct
0.000 0.000 0.000 V
0.000 0.000 0.500 Ga
0.334 0.334 0.164 Tc
0.335 0.335 0.669 Tc
0.665 0.665 0.331 Tc
0.666 0.666 0.836 Tc
```

Output
The density is 9.97 Mg/m³. The density of states at the Fermi level is 3.80 states/eV per cell. The value obtained for the total moment is 0.0000 μB/atom. As for the formation enthalpy at 0 K: -202 meV per atom.